Entry 1:
An optimized crystal structure of Pa2B3Ir2, computed with PBE-GGA.

- Formation energy: -0.36 eV/atom

Cell and atoms, written as CIF:
```
data_Pa2B3Ir2
_chemical_formula_sum 'Pa4 B6 Ir4'
_space_group_name_H-M_alt 'C 1 2/m 1'
_space_group_IT_number 12
_space_group_name_Hall '-C 2y'
_cell_length_a 10.8492
_cell_length_b 3.8374
_cell_length_c 5.5519
_cell_angle_alpha 90.00
_cell_angle_beta 115.96
_cell_angle_gamma 90.00
loop_
_atom_site_label
_atom_site_type_symbol
_atom_site_fract_x
_atom_site_fract_y
_atom_site_fract_z
Pa1 Pa 0.1049 0.0000 0.2669
B1 B 0.0000 0.5000 0.5000
B2 B 0.0963 0.5000 0.8408
Ir1 Ir 0.1891 0.0000 0.8053
```

=====

Entry 2:
An optimized crystal structure of PaBIr4, computed with PBE-GGA.

- Formation energy: -0.41 eV/atom
- Relative energy among the computed polymorphs: 0.31 eV per formula unit

Cell and atoms, written as CIF:
```
data_PaBIr4
_chemical_formula_sum 'Pa2 B2 Ir8'
_space_group_name_H-M_alt 'P m m a'
_space_group_IT_number 51
_space_group_name_Hall '-P 2a 2a'
_cell_length_a 7.3132
_cell_length_b 3.8252
_cell_length_c 6.5877
_cell_angle_alpha 90.00
_cell_angle_beta 90.00
_cell_angle_gamma 90.00
loop_
_atom_site_label
_atom_site_type_symbol
_atom_site_fract_x
_atom_site_fract_y
_atom_site_fract_z
Pa1 Pa 0.2500 0.0000 0.1115
B1 B 0.2500 0.0000 0.6861
Ir1 Ir 0.0000 0.0000 0.5000
Ir2 Ir 0.0618 0.5000 0.8007
Ir3 Ir 0.2500 0.5000 0.4334
```

=====

Entry 3:
An optimized crystal structure of PaBIr, computed with PBE-GGA.

- Formation energy: -0.60 eV/atom
- Relative energy among the computed polymorphs: 0.00 eV per formula unit

Cell and atoms, written as CIF:
```
data_PaBIr
_chemical_formula_sum 'Pa2 B2 Ir2'
_space_group_name_H-M_alt 'P 63/m m c'
_space_group_IT_number 194
_space_group_name_Hall '-P 6c 2c'
_cell_length_a 3.8811
_cell_length_b 3.8811
_cell_length_c 7.5950
_cell_angle_alpha 90.00
_cell_angle_beta 90.00
_cell_angle_gamma 120.00
loop_
_atom_site_label
_atom_site_type_symbol
_atom_site_fract_x
_atom_site_fract_y
_atom_site_fract_z
Pa1 Pa 0.0000 0.0000 0.0000
B1 B 0.3333 0.6667 0.2500
Ir1 Ir 0.3333 0.6667 0.7500
```

=====

Entry 4:
An optimized crystal structure of PaBIr, computed with PBE-GGA.

- Formation energy: -0.21 eV/atom
- Relative energy among the computed polymorphs: 1.17 eV per formula unit

Cell and atoms, written as CIF:
```
data_PaBIr
_chemical_formula_sum 'Pa2 B2 Ir2'
_space_group_name_H-M_alt 'I 4 m m'
_space_group_IT_number 107
_space_group_name_Hall 'I 4 -2'
_cell_length_a 2.9016
_cell_length_b 2.9016
_cell_length_c 10.7419
_cell_angle_alpha 90.00
_cell_angle_beta 90.00
_cell_angle_gamma 90.00
loop_
_atom_site_label
_atom_site_type_symbol
_atom_site_fract_x
_atom_site_fract_y
_atom_site_fract_z
Pa1 Pa 0.0000 0.0000 0.0000
B1 B 0.0000 0.0000 0.3130
Ir1 Ir 0.0000 0.0000 0.7239
```

=====

Entry 5:
An optimized crystal structure of PaBIr, computed with PBE-GGA.

- Formation energy: -0.56 eV/atom
- Relative energy among the computed polymorphs: 0.11 eV per formula unit

Cell and atoms, written as CIF:
```
data_PaBIr
_chemical_formula_sum 'Pa4 B4 Ir4'
_space_group_name_H-M_alt 'C 1 2/m 1'
_space_group_IT_number 12
_space_group_name_Hall '-C 2y'
_cell_length_a 12.0571
_cell_length_b 3.3636
_cell_length_c 5.0482
_cell_angle_alpha 90.00
_cell_angle_beta 111.90
_cell_angle_gamma 90.00
loop_
_atom_site_label
_atom_site_type_symbol
_atom_site_fract_x
_atom_site_fract_y
_atom_site_fract_z
Pa1 Pa 0.1192 0.0000 0.2781
B1 B 0.2304 0.0000 0.8548
Ir1 Ir 0.1083 0.5000 0.7527
```

=====

Entry 6:
An optimized crystal structure of PaB6Ir12, computed with PBE-GGA.

- Formation energy: -0.25 eV/atom

Cell and atoms, written as CIF:
```
data_PaB6Ir12
_chemical_formula_sum 'Pa3 B18 Ir36'
_space_group_name_H-M_alt 'R -3 m'
_space_group_IT_number 166
_space_group_name_Hall '-R 3 2"'
_cell_length_a 10.3726
_cell_length_b 10.3726
_cell_length_c 8.0237
_cell_angle_alpha 90.00
_cell_angle_beta 90.00
_cell_angle_gamma 120.00
loop_
_atom_site_label
_atom_site_type_symbol
_atom_site_fract_x
_atom_site_fract_y
_atom_site_fract_z
Pa1 Pa 0.0000 0.0000 0.0000
B1 B 0.0444 0.5222 0.2936
Ir1 Ir 0.0000 0.3640 0.5000
Ir2 Ir 0.0852 0.1705 0.3542
```

=====

Entry 7:
An optimized crystal structure of PaB2Ir2, computed with PBE-GGA.

- Formation energy: -0.61 eV/atom

Cell and atoms, written as CIF:
```
data_PaB2Ir2
_chemical_formula_sum 'Pa2 B4 Ir4'
_space_group_name_H-M_alt 'P 1 21/m 1'
_space_group_IT_number 11
_space_group_name_Hall '-P 2yb'
_cell_length_a 4.0081
_cell_length_b 3.8531
_cell_length_c 8.9172
_cell_angle_alpha 90.00
_cell_angle_beta 93.47
_cell_angle_gamma 90.00
loop_
_atom_site_label
_atom_site_type_symbol
_atom_site_fract_x
_atom_site_fract_y
_atom_site_fract_z
Pa1 Pa 0.2241 0.2500 0.2490
B1 B 0.1701 0.7500 0.0072
B2 B 0.2703 0.2500 0.6399
Ir1 Ir 0.2495 0.7500 0.5022
Ir2 Ir 0.3224 0.2500 0.9009
```

=====

Entry 8:
An optimized crystal structure of Pa2B10Ir, computed with PBE-GGA.

- Formation energy: -0.53 eV/atom

Cell and atoms, written as CIF:
```
data_Pa2B10Ir
_chemical_formula_sum 'Pa4 B20 Ir2'
_space_group_name_H-M_alt 'P b a m'
_space_group_IT_number 55
_space_group_name_Hall '-P 2 2ab'
_cell_length_a 5.6578
_cell_length_b 11.3088
_cell_length_c 4.1474
_cell_angle_alpha 90.00
_cell_angle_beta 90.00
_cell_angle_gamma 90.00
loop_
_atom_site_label
_atom_site_type_symbol
_atom_site_fract_x
_atom_site_fract_y
_atom_site_fract_z
Pa1 Pa 0.2008 0.1383 0.0000
B1 B 0.0520 0.3063 0.5000
B2 B 0.1167 0.9573 0.5000
B3 B 0.1373 0.8021 0.5000
B4 B 0.2167 0.3805 0.1958
Ir1 Ir 0.0000 0.5000 0.5000
```

=====

Entry 9:
An optimized crystal structure of Pa2BIr5, computed with PBE-GGA.

- Formation energy: -0.77 eV/atom

Cell and atoms, written as CIF:
```
data_Pa2BIr5
_chemical_formula_sum 'Pa4 B2 Ir10'
_space_group_name_H-M_alt 'I 4 m m'
_space_group_IT_number 107
_space_group_name_Hall 'I 4 -2'
_cell_length_a 5.7935
_cell_length_b 5.7935
_cell_length_c 8.2906
_cell_angle_alpha 90.00
_cell_angle_beta 90.00
_cell_angle_gamma 90.00
loop_
_atom_site_label
_atom_site_type_symbol
_atom_site_fract_x
_atom_site_fract_y
_atom_site_fract_z
Pa1 Pa 0.0000 0.5000 0.0000
B1 B 0.0000 0.0000 0.2251
Ir1 Ir 0.0000 0.0000 0.5039
Ir2 Ir 0.2435 0.2435 0.7512
```

=====

Entry 10:
An optimized crystal structure of PaBIr2, computed with PBE-GGA.

- Formation energy: -0.41 eV/atom
- Relative energy among the computed polymorphs: 0.86 eV per formula unit

Cell and atoms, written as CIF:
```
data_PaBIr2
_chemical_formula_sum 'Pa3 B3 Ir6'
_space_group_name_H-M_alt 'R -3 m'
_space_group_IT_number 166
_space_group_name_Hall '-R 3 2"'
_cell_length_a 3.8445
_cell_length_b 3.8445
_cell_length_c 15.3251
_cell_angle_alpha 90.00
_cell_angle_beta 90.00
_cell_angle_gamma 120.00
loop_
_atom_site_label
_atom_site_type_symbol
_atom_site_fract_x
_atom_site_fract_y
_atom_site_fract_z
Pa1 Pa 0.0000 0.0000 0.0000
B1 B 0.0000 0.0000 0.5000
Ir1 Ir 0.0000 0.0000 0.2175
```

=====

Entry 11:
An optimized crystal structure of PaBIr4, computed with PBE-GGA.

- Formation energy: -0.46 eV/atom
- Relative energy among the computed polymorphs: 0.00 eV per formula unit

Cell and atoms, written as CIF:
```
data_PaBIr4
_chemical_formula_sum 'Pa2 B2 Ir8'
_space_group_name_H-M_alt 'P 1 21/m 1'
_space_group_IT_number 11
_space_group_name_Hall '-P 2yb'
_cell_length_a 4.2454
_cell_length_b 5.9572
_cell_length_c 7.8129
_cell_angle_alpha 90.00
_cell_angle_beta 105.68
_cell_angle_gamma 90.00
loop_
_atom_site_label
_atom_site_type_symbol
_atom_site_fract_x
_atom_site_fract_y
_atom_site_fract_z
Pa1 Pa 0.1139 0.2500 0.2275
B1 B 0.3978 0.2500 0.7938
Ir1 Ir 0.0831 0.7500 0.1673
Ir2 Ir 0.3036 0.0072 0.6079
Ir3 Ir 0.5000 0.0000 0.0000
```

=====

Entry 12:
An optimized crystal structure of PaB3Ir3, computed with PBE-GGA.

- Formation energy: -0.40 eV/atom
- Relative energy among the computed polymorphs: 0.00 eV per formula unit

Cell and atoms, written as CIF:
```
data_PaB3Ir3
_chemical_formula_sum 'Pa2 B6 Ir6'
_space_group_name_H-M_alt 'P 63/m'
_space_group_IT_number 176
_space_group_name_Hall '-P 6c'
_cell_length_a 7.8388
_cell_length_b 7.8388
_cell_length_c 3.6897
_cell_angle_alpha 90.00
_cell_angle_beta 90.00
_cell_angle_gamma 120.00
loop_
_atom_site_label
_atom_site_type_symbol
_atom_site_fract_x
_atom_site_fract_y
_atom_site_fract_z
Pa1 Pa 0.3333 0.6667 0.2500
B1 B 0.0522 0.6227 0.7500
Ir1 Ir 0.0713 0.3425 0.7500
```

=====

Entry 13:
An optimized crystal structure of Pa3B4Ir2, computed with PBE-GGA.

- Formation energy: -0.26 eV/atom

Cell and atoms, written as CIF:
```
data_Pa3B4Ir2
_chemical_formula_sum 'Pa6 B8 Ir4'
_space_group_name_H-M_alt 'I m m m'
_space_group_IT_number 71
_space_group_name_Hall '-I 2 2'
_cell_length_a 3.2754
_cell_length_b 8.2362
_cell_length_c 10.7553
_cell_angle_alpha 90.00
_cell_angle_beta 90.00
_cell_angle_gamma 90.00
loop_
_atom_site_label
_atom_site_type_symbol
_atom_site_fract_x
_atom_site_fract_y
_atom_site_fract_z
Pa1 Pa 0.0000 0.0000 0.0000
Pa2 Pa 0.0000 0.5000 0.1524
B1 B 0.0000 0.2342 0.2797
Ir1 Ir 0.0000 0.2439 0.5000
```

=====

Entry 14:
An optimized crystal structure of PaB2IrRh2, computed with PBE-GGA.

- Formation energy: -0.52 eV/atom

Cell and atoms, written as CIF:
```
data_PaB2IrRh2
_chemical_formula_sum 'Pa2 B4 Ir2 Rh4'
_space_group_name_H-M_alt 'I 4/m m m'
_space_group_IT_number 139
_space_group_name_Hall '-I 4 2'
_cell_length_a 3.9263
_cell_length_b 3.9263
_cell_length_c 11.6800
_cell_angle_alpha 90.00
_cell_angle_beta 90.00
_cell_angle_gamma 90.00
loop_
_atom_site_label
_atom_site_type_symbol
_atom_site_fract_x
_atom_site_fract_y
_atom_site_fract_z
Pa1 Pa 0.0000 0.0000 0.0000
B1 B 0.0000 0.0000 0.3179
Ir1 Ir 0.0000 0.0000 0.5000
Rh1 Rh 0.0000 0.5000 0.2500
```

=====

Entry 15:
An optimized crystal structure of Pa4B3IrRh12, computed with PBE-GGA.

- Formation energy: -0.45 eV/atom

Cell and atoms, written as CIF:
```
data_Pa4B3IrRh12
_chemical_formula_sum 'Pa8 B6 Ir2 Rh24'
_space_group_name_H-M_alt 'I m -3 m'
_space_group_IT_number 229
_space_group_name_Hall '-I 4 2 3'
_cell_length_a 8.6997
_cell_length_b 8.6997
_cell_length_c 8.6997
_cell_angle_alpha 90.00
_cell_angle_beta 90.00
_cell_angle_gamma 90.00
loop_
_atom_site_label
_atom_site_type_symbol
_atom_site_fract_x
_atom_site_fract_y
_atom_site_fract_z
Pa1 Pa 0.2500 0.2500 0.2500
B1 B 0.0000 0.0000 0.5000
Ir1 Ir 0.0000 0.0000 0.0000
Rh1 Rh 0.0000 0.0000 0.2802
Rh2 Rh 0.0000 0.2500 0.5000
```

=====

Entry 16:
An optimized crystal structure of Pa2B2IrRu5, computed with PBE-GGA.

- Formation energy: -0.47 eV/atom

Cell and atoms, written as CIF:
```
data_Pa2B2IrRu5
_chemical_formula_sum 'Pa4 B4 Ir2 Ru10'
_space_group_name_H-M_alt 'P 4/m b m'
_space_group_IT_number 127
_space_group_name_Hall '-P 4 2ab'
_cell_length_a 9.4917
_cell_length_b 9.4917
_cell_length_c 3.2612
_cell_angle_alpha 90.00
_cell_angle_beta 90.00
_cell_angle_gamma 90.00
loop_
_atom_site_label
_atom_site_type_symbol
_atom_site_fract_x
_atom_site_fract_y
_atom_site_fract_z
Pa1 Pa 0.1796 0.3204 0.0000
B1 B 0.1185 0.6185 0.0000
Ir1 Ir 0.0000 0.0000 0.0000
Ru1 Ru 0.0000 0.5000 0.5000
Ru2 Ru 0.0717 0.7763 0.5000
```

=====

Entry 17:
An optimized crystal structure of Pa3SiB2Ir9, computed with PBE-GGA.

Cell and atoms, written as CIF:
```
data_Pa3SiB2Ir9
_chemical_formula_sum 'Pa3 Si1 B2 Ir9'
_space_group_name_H-M_alt 'P -3 m 1'
_space_group_IT_number 164
_space_group_name_Hall '-P 3 2"'
_cell_length_a 5.6845
_cell_length_b 5.6845
_cell_length_c 8.8748
_cell_angle_alpha 90.00
_cell_angle_beta 90.00
_cell_angle_gamma 120.00
loop_
_atom_site_label
_atom_site_type_symbol
_atom_site_fract_x
_atom_site_fract_y
_atom_site_fract_z
Pa1 Pa 0.0000 0.0000 0.0000
Pa2 Pa 0.3333 0.6667 0.6125
Si1 Si 0.0000 0.0000 0.5000
B1 B 0.3333 0.6667 0.1501
Ir1 Ir 0.0000 0.5000 0.0000
Ir2 Ir 0.1652 0.3304 0.2939
```

=====

Entry 18:
An optimized crystal structure of Pa2SiBIr6, computed with PBE-GGA.

Cell and atoms, written as CIF:
```
data_Pa2SiBIr6
_chemical_formula_sum 'Pa4 Si2 B2 Ir12'
_space_group_name_H-M_alt 'P m m n'
_space_group_IT_number 59
_cell_length_a 5.6372
_cell_length_b 8.3781
_cell_length_c 7.1703
_cell_angle_alpha 90.00
_cell_angle_beta 90.00
_cell_angle_gamma 90.00
loop_
_space_group_symop_operation_xyz
'x,y,z'
'-x,-y,-z'
'-x+1/2,-y+1/2,z'
'x+1/2,y+1/2,-z'
'x+1/2,-y,-z'
'-x+1/2,y,z'
'-x,y+1/2,-z'
'x,-y+1/2,z'
loop_
_atom_site_label
_atom_site_type_symbol
_atom_site_fract_x
_atom_site_fract_y
_atom_site_fract_z
Pa1 Pa 0.2500 0.0277 0.2272
Si1 Si 0.2500 0.7500 0.8182
B1 B 0.2500 0.2500 0.6972
Ir1 Ir 0.0000 0.2500 0.9137
Ir2 Ir 0.0060 0.7500 0.5109
Ir3 Ir 0.2500 0.0003 0.6530
```

=====

Entry 19:
An optimized crystal structure of PaTc2BIr, computed with PBE-GGA.

- Formation energy: -0.55 eV/atom

Cell and atoms, written as CIF:
```
data_PaTc2BIr
_chemical_formula_sum 'Pa1 Tc2 B1 Ir1'
_space_group_name_H-M_alt 'P 4/m m m'
_space_group_IT_number 123
_space_group_name_Hall '-P 4 2'
_cell_length_a 4.2810
_cell_length_b 4.2810
_cell_length_c 4.1584
_cell_angle_alpha 90.00
_cell_angle_beta 90.00
_cell_angle_gamma 90.00
loop_
_atom_site_label
_atom_site_type_symbol
_atom_site_fract_x
_atom_site_fract_y
_atom_site_fract_z
Pa1 Pa 0.0000 0.0000 0.0000
Tc1 Tc 0.0000 0.5000 0.5000
B1 B 0.5000 0.5000 0.5000
Ir1 Ir 0.5000 0.5000 0.0000
```

=====

Entry 20:
An optimized crystal structure of ThPaB2Ir5, computed with PBE-GGA.

- Formation energy: -0.63 eV/atom

Cell and atoms, written as CIF:
```
data_ThPaB2Ir5
_chemical_formula_sum 'Th1 Pa1 B2 Ir5'
_space_group_name_H-M_alt 'P 4/m m m'
_space_group_IT_number 123
_space_group_name_Hall '-P 4 2'
_cell_length_a 4.0469
_cell_length_b 4.0469
_cell_length_c 9.5587
_cell_angle_alpha 90.00
_cell_angle_beta 90.00
_cell_angle_gamma 90.00
loop_
_atom_site_label
_atom_site_type_symbol
_atom_site_fract_x
_atom_site_fract_y
_atom_site_fract_z
Th1 Th 0.0000 0.0000 0.0000
Pa1 Pa 0.0000 0.0000 0.5000
B1 B 0.5000 0.5000 0.2234
Ir1 Ir 0.0000 0.5000 0.2900
Ir2 Ir 0.5000 0.5000 0.0000
```

=====

Entry 21:
An optimized crystal structure of PaZnB2Ir5, computed with PBE-GGA.

- Formation energy: -0.39 eV/atom

Cell and atoms, written as CIF:
```
data_PaZnB2Ir5
_chemical_formula_sum 'Pa1 Zn1 B2 Ir5'
_space_group_name_H-M_alt 'P 4/m m m'
_space_group_IT_number 123
_space_group_name_Hall '-P 4 2'
_cell_length_a 4.0998
_cell_length_b 4.0998
_cell_length_c 7.9638
_cell_angle_alpha 90.00
_cell_angle_beta 90.00
_cell_angle_gamma 90.00
loop_
_atom_site_label
_atom_site_type_symbol
_atom_site_fract_x
_atom_site_fract_y
_atom_site_fract_z
Pa1 Pa 0.0000 0.0000 0.0000
Zn1 Zn 0.0000 0.0000 0.5000
B1 B 0.5000 0.5000 0.3207
Ir1 Ir 0.0000 0.5000 0.2632
Ir2 Ir 0.5000 0.5000 0.0000
```

=====

In the order shown, the computed E values come out to -0.3112 -0.3312 -0.3286 -0.3143 -0.3272 -0.3108 -0.3207 -0.2871 -0.3498 -0.3264 -0.3331 -0.3092 -0.3073 -0.3033 -0.3014 -0.3390 -0.3352 -0.3352 -0.3567 -0.3277 -0.2936 hartree per atom.
In the order shown, the computed spin magnetization values come out to 0.000 0.000 0.000 0.104 0.000 0.000 0.000 0.000 0.000 0.000 0.000 0.000 0.000 0.000 0.126 0.000 0.000 0.000 0.000 0.000 0.000 μB per atom.